Tb6Nd2Dy3Tm | PBE | optimized geometry

Structure (extended XYZ):
```
12
Lattice="-4.538 1.927 3.723 -1.352 -3.168 -5.129 2.626 -9.570 6.454" Properties=species:S:1:pos:R:3 pbc="T T T"
Dy -2.695 -3.705 5.477
Dy -1.632 -5.405 2.524
Dy -0.569 -7.105 -0.429
Tm 0.000 0.000 0.000
Nd -2.414 -1.469 -2.177
Nd -3.476 0.228 0.770
Tb 0.504 -7.462 4.477
Tb -1.922 -8.934 2.303
Tb -3.768 -3.349 0.571
Tb -1.343 -1.877 2.745
Tb -2.980 -7.241 5.243
Tb -0.284 -3.570 -0.195
```

Raw total energy   -55.4 eV for the cell shown
Symmetry   C2/m (12)
Energy relative to the elements   0.02 eV per atom
DOS(E_F)   14.96 states/eV/cell

LaOsPt | PBE | optimized geometry

Structure (extended XYZ):
```
3
Lattice="-3.490 0.626 -4.459 -5.691 0.242 0.126 5.062 2.020 1.658" Properties=species:S:1:pos:R:3 pbc="T T T"
Pt -6.524 0.617 -3.079
La -0.007 0.001 -0.003
Os -2.650 0.251 -1.250
```

Raw total energy   -22.2 eV for the cell shown
Symmetry   Imm2 (44)
E above lowest polymorph   0.3201 eV per atom
Energy relative to the elements   0.00 eV per atom
DOS(E_F)   4.36 states/eV/cell

> The lowest raw total energy belongs to which entry?

Tb6Nd2Dy3Tm

> What is the DOS(E_F) in the first record?

14.96 states/eV/cell

> Look up the energy relative to the elements of the first one.

0.02 eV per atom

> Number 2 is which compound?

LaOsPt